DFT (PBE) results for Rb2SrIO4 after structural relaxation.

```
Rb2SrIO4
1.0
-2.222 4.723 -3.138
-2.017 -5.383 -2.010
-1.770 -0.061 5.827
Rb O I Sr
2 4 1 1
Cartesian
0.000 0.000 0.000
-3.066 -1.691 -1.619
-3.563 0.968 -2.952
-2.571 1.140 -0.126
-3.832 -2.428 1.203
-2.052 -1.123 3.234
-1.894 -2.722 1.908
-2.943 0.970 2.299
```

## Properties
* total energy: -4.4332 eV per atom
* formation energy from raw total energies: -1.308 eV/atom
* calculated volume: 21.47 Å³/atom
* M_tot: 0.98 μB/f.u.
* space group: I-4, No. 82